Below is crystalline NbAgWO7 at its relaxed geometry, with properties calculated at the PBE+U level.

As for the total DFT energy (no corrections): -281.3 eV for the cell shown. As for the magnetic moment: 1.15 μB/f.u.

The space group is Imma (No. 74) and the conventional cell measures 7.344, 7.515 and 10.638 Å, with angles of 90.00, 90.00 and 90.00 degrees. Symmetry generates all atoms from Nb at (0.000, 0.000, 0.000), Ag at (0.250, 0.250, 0.250), W at (0.250, 0.250, 0.750), O at (0.000, 0.250, 0.064), O at (0.000, 0.250, 0.325), O at (0.000, 0.250, 0.694) and O at (0.188, 0.066, 0.871).